[1]
VASP calculation (PBEsol) on a geometry-optimized Cd5Pb3 structure.

extended XYZ file:
```
16
Lattice="-5.455 -1.135 -0.019 0.892 -4.423 8.033 -1.876 9.019 -0.109" Properties=species:S:1:pos:R:3 pbc="T T T"
Pb -4.479 0.958 3.104
Cd -3.917 -1.714 1.552
Pb -1.013 -2.024 3.157
Cd -1.556 0.613 1.541
Pb -1.961 2.504 4.800
Cd -4.457 0.908 -0.036
Cd -2.758 -0.509 5.309
Cd -4.884 2.849 6.364
Cd -3.681 3.971 2.595
Cd -0.953 4.539 2.605
Cd -0.646 -3.844 6.461
Cd -0.031 0.058 5.319
Pb -3.550 -3.533 4.857
Cd -2.874 6.977 -0.093
Pb -2.102 3.266 -0.048
Pb -5.229 4.618 -0.081
```

Results
ΔE_f	122.2	meV/atom
space-group type	P6_3/mcm, No. 193
total energy	-34.0	eV per cell
DOS(E_F)	0.47	states/eV/atom



[2]
VASP calculation (PBEsol) on a geometry-optimized CdPb3 structure.

extended XYZ file:
```
4
Lattice="-3.081 1.792 -0.175 -2.446 -3.899 3.138 1.392 2.846 4.622" Properties=species:S:1:pos:R:3 pbc="T T T"
Pb -1.570 1.386 5.444
Pb -0.865 2.276 2.154
Pb -0.741 -0.965 3.168
Cd 1.362 2.783 4.520
```

Results
ΔE_f	66.6	meV/atom
space-group type	Pmm2, No. 25
total energy	-12.9	eV per cell
DOS(E_F)	0.48	states/eV/atom



[3]
VASP calculation (PBEsol) on a geometry-optimized CdPb structure.

extended XYZ file:
```
4
Lattice="4.714 0.000 0.000 0.000 4.714 0.000 -2.357 -2.357 4.650" Properties=species:S:1:pos:R:3 pbc="T T T"
Cd 0.000 2.357 2.325
Pb 2.357 2.357 0.000
Cd 0.000 0.000 0.000
Pb 2.357 0.000 2.325
```

Results
ΔE_f	70.5	meV/atom
space-group type	I4_1/amd, No. 141
total energy	-10.1	eV per cell
DOS(E_F)	0.46	states/eV/atom



[4]
VASP calculation (PBEsol) on a geometry-optimized CdPb structure.

extended XYZ file:
```
8
Lattice="5.957 0.000 0.000 0.000 5.957 0.000 0.000 0.000 5.957" Properties=species:S:1:pos:R:3 pbc="T T T"
Cd 5.388 0.569 3.548
Pb 3.571 2.386 5.365
Pb 0.593 0.593 0.593
Pb 5.365 3.571 2.386
Cd 0.569 3.548 5.388
Cd 3.548 5.388 0.569
Pb 2.386 5.365 3.571
Cd 2.409 2.409 2.409
```

Results
ΔE_f	100.9	meV/atom
space-group type	P2_13, No. 198
total energy	-20.0	eV per cell
DOS(E_F)	0.53	states/eV/atom



[5]
VASP calculation (PBEsol) on a geometry-optimized Cd3Pb structure.

extended XYZ file:
```
8
Lattice="-3.462 2.332 2.542 -2.305 -5.634 2.030 4.449 2.135 4.101" Properties=species:S:1:pos:R:3 pbc="T T T"
Cd -1.048 -0.856 1.708
Pb 1.082 -0.160 3.970
Cd 0.642 2.491 5.636
Cd -1.531 1.746 3.362
Cd -0.270 -0.310 6.965
Pb -2.399 -1.006 4.704
Cd -1.959 -3.658 3.037
Cd 0.213 -2.912 5.312
```

Results
ΔE_f	67.6	meV/atom
space-group type	Cmcm, No. 63
total energy	-14.6	eV per cell
DOS(E_F)	0.35	states/eV/atom



[6]
VASP calculation (PBEsol) on a geometry-optimized Cd3Pb structure.

extended XYZ file:
```
4
Lattice="-0.123 -3.179 0.889 3.738 0.892 3.707 -3.835 1.152 3.589" Properties=species:S:1:pos:R:3 pbc="T T T"
Cd -1.396 -0.181 5.296
Pb 0.592 0.830 3.049
Cd -2.015 -1.003 2.274
Cd -3.792 1.140 3.549
```

Results
ΔE_f	83.9	meV/atom
space-group type	Pmm2, No. 25
total energy	-7.3	eV per cell
DOS(E_F)	0.39	states/eV/atom



[7]
VASP calculation (PBEsol) on a geometry-optimized CdPb structure.

extended XYZ file:
```
8
Lattice="-4.902 1.350 1.689 -2.231 -5.093 -2.406 1.054 -3.065 5.511" Properties=species:S:1:pos:R:3 pbc="T T T"
Cd -1.495 -3.692 2.862
Cd -3.734 0.202 1.747
Pb -2.822 -5.366 0.346
Pb -1.973 -2.046 0.158
Pb -4.106 -4.763 4.635
Pb -3.256 -1.443 4.448
Cd -2.345 -7.010 3.047
Cd -4.584 -3.117 1.932
```

Results
ΔE_f	77.6	meV/atom
space-group type	Pnma, No. 62
total energy	-20.2	eV per cell
DOS(E_F)	0.44	states/eV/atom



[8]
VASP calculation (PBEsol) on a geometry-optimized CdPb3 structure.

extended XYZ file:
```
4
Lattice="3.366 0.000 0.000 -1.122 6.196 0.000 -1.122 -3.098 5.366" Properties=species:S:1:pos:R:3 pbc="T T T"
Pb 1.122 3.098 0.000
Pb -1.122 1.549 2.683
Cd 0.000 0.000 0.000
Pb 1.122 -1.549 2.683
```

Results
ΔE_f	84.8	meV/atom
space-group type	R-3m, No. 166
total energy	-12.9	eV per cell
DOS(E_F)	0.52	states/eV/atom



[9]
VASP calculation (PBEsol) on a geometry-optimized Cd3Pb structure.

extended XYZ file:
```
4
Lattice="2.994 0.000 0.000 0.000 5.750 0.000 -1.497 -2.875 5.548" Properties=species:S:1:pos:R:3 pbc="T T T"
Cd 1.497 2.875 2.948
Cd 1.497 0.000 0.000
Pb 0.000 2.875 0.000
Cd 0.000 0.000 2.601
```

Results
ΔE_f	79.9	meV/atom
space-group type	Immm, No. 71
total energy	-7.3	eV per cell
DOS(E_F)	0.30	states/eV/atom



[10]
VASP calculation (PBEsol) on a geometry-optimized Cd2Pb structure.

extended XYZ file:
```
3
Lattice="-1.805 -2.787 0.544 3.672 -1.803 2.948 -3.698 2.785 1.997" Properties=species:S:1:pos:R:3 pbc="T T T"
Pb 0.000 0.000 0.000
Cd 0.313 -1.667 2.903
Cd -2.144 -0.138 2.586
```

Results
ΔE_f	67.2	meV/atom
space-group type	P6/mmm, No. 191
total energy	-6.2	eV per cell
DOS(E_F)	0.40	states/eV/atom



[11]
VASP calculation (PBEsol) on a geometry-optimized CdPb3 structure.

extended XYZ file:
```
8
Lattice="-2.817 0.152 5.414 1.797 -5.731 1.096 5.110 2.099 2.600" Properties=species:S:1:pos:R:3 pbc="T T T"
Cd 0.000 0.000 0.000
Pb 2.424 1.650 4.657
Pb 3.903 -3.249 2.121
Pb 3.004 -0.383 1.574
Pb -1.214 -2.752 4.609
Pb -0.131 0.601 3.357
Cd 2.045 -1.740 4.555
Pb 0.194 -2.828 1.901
```

Results
ΔE_f	109.7	meV/atom
space-group type	Pm-3n, No. 223
total energy	-25.5	eV per cell
DOS(E_F)	0.43	states/eV/atom



[12]
VASP calculation (PBEsol) on a geometry-optimized CdPb5 structure.

extended XYZ file:
```
6
Lattice="-2.923 -1.816 -0.064 1.602 -2.633 1.532 -3.611 5.357 12.978" Properties=species:S:1:pos:R:3 pbc="T T T"
Pb -1.841 -0.474 4.975
Pb -3.092 1.382 9.472
Pb -1.806 2.678 6.489
Cd -0.661 -2.224 0.734
Pb -3.065 4.547 11.016
Pb -0.546 0.810 1.963
```

Results
ΔE_f	20.5	meV/atom
space-group type	P4/mmm, No. 123
total energy	-21.1	eV per cell
DOS(E_F)	0.37	states/eV/atom